Record 1
Entry from Alexandria via LeMat-Bulk: Zr2CdTc after structural relaxation (GGA-PBE).

Unit cell a=9.2186 b=9.2186 c=9.2186 alpha=20.47 beta=20.47 gamma=20.47
Sites, in units of the cell vectors:
Zr1 0.2394 0.2394 0.2394
Zr2 0.7606 0.7606 0.7606
Cd1 0.0000 0.0000 0.0000
Tc1 0.5000 0.5000 0.5000

DOS(E_F): 0.8706 states/eV per atom
formation energy from the elements: -0.060 eV/atom
total magnetization: 0.00 Bohr magnetons per cell
symmetry: R-3m, No. 166

=====

Record 2
Entry from Alexandria via LeMat-Bulk: AsIrOs2 after structural relaxation (GGA-PBE).

Unit cell a=2.7454 b=2.7454 c=9.5176 alpha=90.00 beta=90.00 gamma=120.80
Sites, in units of the cell vectors:
As1 0.0000 0.0000 0.0000
Ir1 0.0000 0.0000 0.5000
Os1 0.5000 0.5000 0.2556
Os2 0.5000 0.5000 0.7444

DOS(E_F): 1.3268 states/eV per atom
formation energy from the elements: 0.700 eV/atom
total magnetization: 0.00 Bohr magnetons per cell
symmetry: Cmmm, No. 65

=====

Record 3
Entry from Alexandria via LeMat-Bulk: YVGe2 after structural relaxation (GGA-PBE).

Unit cell a=10.0692 b=10.0692 c=10.0692 alpha=17.55 beta=17.55 gamma=17.55
Sites, in units of the cell vectors:
Y1 0.0000 0.0000 0.0000
V1 0.5000 0.5000 0.5000
Ge1 0.0994 0.0994 0.0994
Ge2 0.9006 0.9006 0.9006

ΔE to the lowest computed polymorph: 455.2 meV per atom
DOS(E_F): 0.9172 states/eV per atom
formation energy from the elements: 0.233 eV/atom
total magnetization: 0.00 Bohr magnetons per cell
symmetry: R-3m, No. 166

=====

Record 4
Entry from Alexandria via LeMat-Bulk: SrLiIr4 after structural relaxation (GGA-PBE).

Unit cell a=5.3416 b=5.3416 c=5.3416 alpha=60.00 beta=60.00 gamma=60.00
Sites, in units of the cell vectors:
Sr1 0.0000 0.0000 0.0000
Li1 0.2500 0.2500 0.2500
Ir1 0.1263 0.6246 0.6246
Ir2 0.6246 0.1263 0.6246
Ir3 0.6246 0.6246 0.1263
Ir4 0.6246 0.6246 0.6246

DOS(E_F): 1.4609 states/eV per atom
formation energy from the elements: -0.078 eV/atom
total magnetization: 0.00 Bohr magnetons per cell
symmetry: F-43m, No. 216

=====

Record 5
Entry from Alexandria via LeMat-Bulk: NiPRh2 after structural relaxation (GGA-PBE).

Unit cell a=4.2016 b=4.2016 c=2.9439 alpha=90.00 beta=90.00 gamma=99.36
Sites, in units of the cell vectors:
Ni1 0.0000 0.0000 0.0000
P1 0.5000 0.5000 0.0000
Rh1 0.0000 0.5000 0.5000
Rh2 0.5000 0.0000 0.5000

ΔE to the lowest computed polymorph: 136.4 meV per atom
DOS(E_F): 1.1429 states/eV per atom
formation energy from the elements: -0.159 eV/atom
total magnetization: 0.00 Bohr magnetons per cell
symmetry: Cmmm, No. 65

=====

Record 6
Entry from Alexandria via LeMat-Bulk: RbInSn2 after structural relaxation (GGA-PBE).

Unit cell a=8.8776 b=5.0044 c=13.2281 alpha=90.00 beta=90.00 gamma=90.00
Sites, in units of the cell vectors:
Rb1 0.1303 0.2500 0.1360
Rb2 0.3697 0.7500 0.6360
Rb3 0.6303 0.2500 0.3640
Rb4 0.8697 0.7500 0.8640
In1 0.1923 0.2500 0.8587
In2 0.3077 0.7500 0.3587
In3 0.6923 0.2500 0.6413
In4 0.8077 0.7500 0.1413
Sn1 0.0431 0.2500 0.6529
Sn2 0.1228 0.2500 0.4297
Sn3 0.3772 0.7500 0.9297
Sn4 0.4569 0.7500 0.1529
Sn5 0.5431 0.2500 0.8471
Sn6 0.6228 0.2500 0.0703
Sn7 0.8772 0.7500 0.5703
Sn8 0.9569 0.7500 0.3471

DOS(E_F): 0.2594 states/eV per atom
formation energy from the elements: -0.124 eV/atom
total magnetization: 0.00 Bohr magnetons per cell
symmetry: Pnma, No. 62

=====

formation energy from the elements of number 5 (NiPRh2)?
-0.159 eV/atom